# 1
Computed, not measured: a geometry-optimized SrCaSe2 structure at the PBE level of DFT.

Calculated values
Total energy: -4.03 eV per atom
Uncorrected formation energy: -1.363 eV per atom
Calculated density: 2.9 g/cm³

a b c (Å): 8.910 8.910 8.910
angles (deg): 30.85 30.85 30.85
Sites, in units of the cell vectors:
Se1 0.104 0.104 0.104
Se2 0.896 0.896 0.896
Ca1 0.000 0.000 0.000
Sr1 0.500 0.500 0.500

=====

# 2
Computed, not measured: a geometry-optimized Sr2CaSe structure at the PBE level of DFT.

Calculated values
Total energy: -2.43 eV per atom
Uncorrected formation energy: -0.216 eV per atom
Calculated density: 3.2 g/cm³

a b c (Å): 5.993 5.993 5.993
angles (deg): 60.00 60.00 60.00
Sites, in units of the cell vectors:
Se1 0.750 0.750 0.750
Sr1 0.000 0.000 0.000
Sr2 0.250 0.250 0.250
Ca1 0.500 0.500 0.500

=====

# 3
Computed, not measured: a geometry-optimized SrCaSe4 structure at the PBE level of DFT.

Calculated values
Total energy: -3.42 eV per atom
Uncorrected formation energy: -0.488 eV per atom
Calculated density: 4.7 g/cm³

a b c (Å): 6.064 6.064 6.064
angles (deg): 60.00 60.00 60.00
Sites, in units of the cell vectors:
Sr1 0.750 0.750 0.750
Se1 0.375 0.375 0.876
Se2 0.375 0.375 0.375
Se3 0.375 0.876 0.375
Se4 0.876 0.375 0.375
Ca1 0.000 0.000 0.000

=====

# 4
Computed, not measured: a geometry-optimized Sr2CaSe structure at the PBE level of DFT.

Calculated values
Total energy: -3.04 eV per atom
Uncorrected formation energy: -0.830 eV per atom
Calculated density: 3.2 g/cm³

a b c (Å): 3.847 3.847 10.221
angles (deg): 90.00 90.00 90.00
Sites, in units of the cell vectors:
Sr1 0.000 0.000 0.925
Sr2 0.500 0.500 0.262
Se1 0.500 0.500 0.737
Ca1 0.000 0.000 0.576

=====

# 5
Computed, not measured: a geometry-optimized SrCaSe2 structure at the PBE level of DFT.

Calculated values
Total energy: -4.30 eV per atom
Uncorrected formation energy: -1.634 eV per atom
Calculated density: 3.8 g/cm³

a b c (Å): 7.663 7.663 7.663
angles (deg): 148.22 148.22 45.56
Sites, in units of the cell vectors:
Sr1 0.500 0.500 0.000
Ca1 0.750 0.250 0.500
Se1 0.250 0.750 0.500
Se2 0.000 0.000 0.000

=====

# 6
Computed, not measured: a geometry-optimized Sr2CaSe structure at the PBE level of DFT.

Calculated values
Total energy: -3.13 eV per atom
Uncorrected formation energy: -0.917 eV per atom
Calculated density: 2.9 g/cm³

a b c (Å): 10.882 10.882 10.882
angles (deg): 22.56 22.56 22.56
Sites, in units of the cell vectors:
Ca1 0.750 0.750 0.750
Se1 0.250 0.250 0.250
Sr1 0.977 0.977 0.977
Sr2 0.523 0.523 0.523

=====

- Which formula does entry 6 have?
  Sr2CaSe

=====

- Among the records above, which one has the lowest uncorrected formation energy?
  number 5